1.
Below is a geometry-optimized YB structure, with properties calculated at the PBE level.

Properties
Relative energy among the computed polymorphs (meV per atom): 95.7

a = 6.762 Å, b = 3.193 Å, c = 7.078 Å
α = 90.00°, β = 106.62°, γ = 90.00°
Space group C2/m (No. 12)
Inequivalent atoms, fractional coordinates:
Y  0.078  0.000  0.260
B  0.210  0.500  0.002

=====

2.
Below is a geometry-optimized YB6 structure, with properties calculated at the PBE level.

Properties
Relative energy among the computed polymorphs (meV per atom): 0.0

a = 4.102 Å, b = 4.102 Å, c = 4.102 Å
α = 90.00°, β = 90.00°, γ = 90.00°
Space group Pm-3m (No. 221)
Inequivalent atoms, fractional coordinates:
Y  0.000  0.000  0.000
B  0.199  0.500  0.500

=====

3.
Below is a geometry-optimized YB12 structure, with properties calculated at the PBE level.

a = 7.503 Å, b = 7.503 Å, c = 7.503 Å
α = 90.00°, β = 90.00°, γ = 90.00°
Space group Fm-3m (No. 225)
Inequivalent atoms, fractional coordinates:
Y  0.000  0.000  0.000
B  0.000  0.169  0.331

=====

Number 1: energy of formation from the pure elements -0.306 eV per atom. Number 2: energy of formation from the pure elements -0.394 eV per atom. Number 3: energy of formation from the pure elements -0.232 eV per atom.